## MgSiRh3 (PBE)

Data for a geometry-optimized MgSiRh3 structure.

Geometry as extended XYZ:
```
5
Lattice="4.4106 0.0000 0.0000 0.0000 4.4106 0.0000 0.0000 0.0000 4.4106" Properties=species:S:1:pos:R:3 pbc="T T T"
Rh 0.0000 0.0000 2.2053
Rh 2.2053 0.0000 0.0000
Rh 0.0000 2.2053 0.0000
Si 0.0000 0.0000 0.0000
Mg 2.2053 2.2053 2.2053
```

Polymorph energy (0 for the lowest one)   0.154 eV/atom
Total moment   0.000 μB per cell
Fermi-level density of states   5.91 states/eV/f.u.
Formation energy without anion corrections   -0.18 eV per atom